# YSc2Rh9 (GGA-PBE, optimized geometry)
data_YSc2Rh9
_space_group_name_H-M_alt 'R -3 m'
_space_group_IT_number 166
_space_group_name_Hall '-R 3 2"'
_cell_length_a 5.1909
_cell_length_b 5.1909
_cell_length_c 25.9375
_cell_angle_alpha 90.00
_cell_angle_beta 90.00
_cell_angle_gamma 120.00
loop_
_atom_site_label
_atom_site_type_symbol
_atom_site_fract_x
_atom_site_fract_y
_atom_site_fract_z
Y1 Y 0.0000 0.0000 0.0000
Sc1 Sc 0.0000 0.0000 0.1400
Rh1 Rh 0.0000 0.0000 0.3335
Rh2 Rh 0.0000 0.0000 0.5000
Rh3 Rh 0.0023 0.5011 0.9154
# Final energy in eV per atom: -7.64
# Formation energy in eV/atom: -0.53

***

# Y2ScRh4 (GGA-PBE, optimized geometry)
data_Y2ScRh4
_space_group_name_H-M_alt 'R -3 m'
_space_group_IT_number 166
_space_group_name_Hall '-R 3 2"'
_cell_length_a 4.6298
_cell_length_b 4.6298
_cell_length_c 22.5564
_cell_angle_alpha 90.00
_cell_angle_beta 90.00
_cell_angle_gamma 120.00
loop_
_atom_site_label
_atom_site_type_symbol
_atom_site_fract_x
_atom_site_fract_y
_atom_site_fract_z
Y1 Y 0.0000 0.0000 0.2411
Sc1 Sc 0.0000 0.0000 0.0000
Rh1 Rh 0.0000 0.0000 0.1183
Rh2 Rh 0.0000 0.0000 0.3719
# Final energy in eV per atom: -7.51
# Formation energy in eV/atom: -0.56

***

# YScRh2 (GGA-PBE, optimized geometry)
data_YScRh2
_space_group_name_H-M_alt 'R -3 m'
_space_group_IT_number 166
_space_group_name_Hall '-R 3 2"'
_cell_length_a 3.3188
_cell_length_b 3.3188
_cell_length_c 24.4007
_cell_angle_alpha 90.00
_cell_angle_beta 90.00
_cell_angle_gamma 120.00
loop_
_atom_site_label
_atom_site_type_symbol
_atom_site_fract_x
_atom_site_fract_y
_atom_site_fract_z
Y1 Y 0.0000 0.0000 0.0000
Sc1 Sc 0.0000 0.0000 0.5000
Rh1 Rh 0.0000 0.0000 0.2457
# Final energy in eV per atom: -7.37
# Formation energy in eV/atom: -0.50